A plane-wave DFT calculation with PBE was carried out for a relaxed NdGeBi crystal.

```
data_NdGeBi
_space_group_name_H-M_alt 'P 1'
_space_group_IT_number 1
_cell_length_a 4.564
_cell_length_b 17.148
_cell_length_c 4.218
_cell_angle_alpha 90.00
_cell_angle_beta 90.00
_cell_angle_gamma 90.00
loop_
_space_group_symop_operation_xyz
'x,y,z'
loop_
_atom_site_label
_atom_site_type_symbol
_atom_site_fract_x
_atom_site_fract_y
_atom_site_fract_z
Nd1 Nd 0.000 0.095 0.250
Nd2 Nd 0.000 0.905 0.750
Nd3 Nd 0.500 0.405 0.750
Nd4 Nd 0.500 0.595 0.250
Ge1 Ge 0.000 0.452 0.250
Ge2 Ge 0.000 0.548 0.750
Ge3 Ge 0.500 0.048 0.750
Ge4 Ge 0.500 0.952 0.250
Bi1 Bi 0.000 0.253 0.750
Bi2 Bi 0.000 0.747 0.250
Bi3 Bi 0.500 0.247 0.250
Bi4 Bi 0.500 0.753 0.750
```

Computed properties:
energy of formation: -190 kJ/mol of formula units
crystal system: orthorhombic
ρ: 8.57 g cm⁻³
electronic total energy: -5.079 eV/atom